Entry from Alexandria via LeMat-Bulk: an optimized crystal structure of YCdBr3 (GGA-PBEsol).

Geometry as CIF:
```
data_YCdBr3
_chemical_formula_sum 'Y1 Cd1 Br3'
_cell_length_a 5.519
_cell_length_b 5.519
_cell_length_c 5.519
_cell_angle_alpha 90.00
_cell_angle_beta 90.00
_cell_angle_gamma 90.00
_space_group_name_H-M_alt 'P m -3 m'
_space_group_IT_number 221
_space_group_name_Hall '-P 4 2 3'
loop_
_atom_site_label
_atom_site_type_symbol
_atom_site_fract_x
_atom_site_fract_y
_atom_site_fract_z
Y1 Y 0.000 0.000 0.000
Cd1 Cd 0.500 0.500 0.500
Br1 Br 0.000 0.000 0.500
```

---

Entry from Alexandria via LeMat-Bulk: an optimized crystal structure of CoSeCl2 (GGA-PBEsol).

Geometry as CIF:
```
data_CoSeCl2
_chemical_formula_sum 'Co1 Se1 Cl2'
_cell_length_a 2.883
_cell_length_b 2.883
_cell_length_c 8.863
_cell_angle_alpha 90.00
_cell_angle_beta 90.00
_cell_angle_gamma 90.00
_space_group_name_H-M_alt 'P 4 m m'
_space_group_IT_number 99
loop_
_space_group_symop_operation_xyz
'x,y,z'
'-y,x,z'
'-x,-y,z'
'y,-x,z'
'-x,y,z'
'y,x,z'
'x,-y,z'
'-y,-x,z'
loop_
_atom_site_label
_atom_site_type_symbol
_atom_site_fract_x
_atom_site_fract_y
_atom_site_fract_z
Co1 Co 0.000 0.000 0.000
Se1 Se 0.500 0.500 0.146
Cl1 Cl 0.000 0.000 0.456
Cl2 Cl 0.500 0.500 0.819
```

Summary:
Its offset from the most stable computed form is 141 meV/atom. Its density of states at the Fermi level is 3.7 states/eV/f.u.

---

Entry from Alexandria via LeMat-Bulk: an optimized crystal structure of CuCl2 (GGA-PBEsol).

Geometry as CIF:
```
data_CuCl2
_chemical_formula_sum 'Cu3 Cl6'
_cell_length_a 3.4508
_cell_length_b 3.4508
_cell_length_c 16.9777
_cell_angle_alpha 90.00
_cell_angle_beta 90.00
_cell_angle_gamma 120.00
_space_group_name_H-M_alt 'R -3 m'
_space_group_IT_number 166
_space_group_name_Hall '-R 3 2"'
loop_
_atom_site_label
_atom_site_type_symbol
_atom_site_fract_x
_atom_site_fract_y
_atom_site_fract_z
Cu1 Cu 0.0000 0.0000 0.0000
Cl1 Cl 0.0000 0.0000 0.2553
```

Summary:
Its density of states at the Fermi level is 3.2 states/eV/f.u.

---

Number 1: ρ 4.36 g/cm3, E_form (uncorrected) -1.201 eV/atom. Number 2: ρ 4.71 g/cm3, E_form (uncorrected) 0.098 eV/atom. Number 3: ρ 3.83 g/cm3, E_form (uncorrected) -0.427 eV/atom.